This record from Alexandria via LeMat-Bulk describes an optimized crystal structure of CaBiSb2Pt. The functional is PBEsol.

Properties
- Theoretical density: 6955 kg/m³
- M_tot: 0.000 μB/atom
- VASP energy: -0.1207 hartree per atom
- Formation energy from raw total energies: 1.215 eV per atom

a b c (Å): 5.4362 5.4362 5.5559
angles (deg): 90.00 90.00 90.00
Space group P4/mmm (No. 123)
One atom of each set of equivalent atoms:
Ca  0.0000  0.0000  0.0000 x1
Bi  0.0000  0.0000  0.5000 x1
Sb  0.0000  0.5000  0.0000 x2
Pt  0.5000  0.5000  0.5000 x1

This record from Alexandria via LeMat-Bulk describes an optimized crystal structure of CaTl2BiPt. The functional is PBEsol.

Properties
- Theoretical density: 7260 kg/m³
- M_tot: 0.000 μB/atom
- VASP energy: -0.1086 hartree per atom
- E_form: 0.772 eV per atom

a b c (Å): 5.7671 5.7671 5.8652
angles (deg): 90.00 90.00 90.00
Space group P4/mmm (No. 123)
One atom of each set of equivalent atoms:
Ca  0.0000  0.0000  0.0000 x1
Tl  0.0000  0.5000  0.5000 x2
Bi  0.0000  0.0000  0.5000 x1
Pt  0.5000  0.5000  0.0000 x1

This record from Alexandria via LeMat-Bulk describes an optimized crystal structure of RbCaBi3. The functional is PBEsol.

Properties
- Theoretical density: 5977 kg/m³
- M_tot: 0.000 μB/atom
- VASP energy: -0.0905 hartree per atom
- E_form: 0.739 eV per atom

a b c (Å): 5.9351 5.9351 5.9351
angles (deg): 90.00 90.00 90.00
Space group Pm-3m (No. 221)
One atom of each set of equivalent atoms:
Rb  0.0000  0.0000  0.0000 x1
Ca  0.5000  0.5000  0.5000 x1
Bi  0.0000  0.0000  0.5000 x3

This record from Alexandria via LeMat-Bulk describes an optimized crystal structure of CaBiRh3. The functional is PBEsol.

Properties
- Theoretical density: 9094 kg/m³
- M_tot: 0.000 μB/atom
- VASP energy: -0.1810 hartree per atom
- E_form: 1.243 eV per atom

a b c (Å): 4.6701 4.6701 4.6701
angles (deg): 90.00 90.00 90.00
Space group Pm-3m (No. 221)
One atom of each set of equivalent atoms:
Ca  0.0000  0.0000  0.0000 x1
Bi  0.5000  0.5000  0.5000 x1
Rh  0.0000  0.0000  0.5000 x3

This record from Alexandria via LeMat-Bulk describes an optimized crystal structure of CaZrBi2Rh. The functional is PBEsol.

Properties
- Theoretical density: 7279 kg/m³
- M_tot: 0.000 μB/atom
- VASP energy: -0.2010 hartree per atom
- E_form: 0.117 eV per atom

a b c (Å): 5.6078 5.6078 4.7310
angles (deg): 90.00 90.00 90.00
Space group P4/mmm (No. 123)
One atom of each set of equivalent atoms:
Ca  0.0000  0.0000  0.0000 x1
Zr  0.5000  0.5000  0.5000 x1
Bi  0.0000  0.5000  0.5000 x2
Rh  0.5000  0.5000  0.0000 x1

This record from Alexandria via LeMat-Bulk describes an optimized crystal structure of SrCaBiRu2. The functional is PBEsol.

Properties
- Theoretical density: 6141 kg/m³
- M_tot: 0.000 μB/atom
- VASP energy: -0.1702 hartree per atom
- E_form: 1.089 eV per atom

a b c (Å): 5.0491 5.0491 5.7154
angles (deg): 90.00 90.00 90.00
Space group P4/mmm (No. 123)
One atom of each set of equivalent atoms:
Sr  0.0000  0.0000  0.0000 x1
Ca  0.5000  0.5000  0.0000 x1
Bi  0.0000  0.0000  0.5000 x1
Ru  0.0000  0.5000  0.5000 x2

Question: What is the M_tot in the fourth record?
Answer: 0.000 μB/atom